Crystalline ZrReHg2 at its relaxed geometry, computed with PBEsol.

Unit cell a=2.9696 b=2.9696 c=9.3332 alpha=90.00 beta=90.00 gamma=110.75
Fractional coordinates of all 4 atoms:
Hg  0.0000  0.0000  0.0053
Zr  0.5000  0.5000  0.2709
Re  0.0000  0.0000  0.4878
Hg  0.5000  0.5000  0.7361

Properties
Total magnetic moment in μB/cell: 0.00
Calculated volume in Å³/atom: 19.2
Energy of formation in eV/f.u.: 0.83
DOS at the Fermi energy in states/eV/atom: 0.65

---

Crystalline ZrRe3Hg at its relaxed geometry, computed with PBEsol.

Unit cell a=4.7310 b=4.7310 c=4.7310 alpha=90.00 beta=90.00 gamma=90.00
Last column: magnetic moment on the atom in μB.
Fractional coordinates of all 5 atoms:
Hg  0.5000  0.5000  0.5000  0.00
Zr  0.0000  0.0000  0.0000  -0.05
Re  0.0000  0.5000  0.0000  0.53
Re  0.0000  0.0000  0.5000  0.53
Re  0.5000  0.0000  0.0000  0.53

Properties
Total magnetic moment in μB/cell: 1.71
Calculated volume in Å³/atom: 21.2
Energy of formation in eV/f.u.: 13.29
DOS at the Fermi energy in states/eV/atom: 1.36

---

Crystalline Hg2Rh at its relaxed geometry, computed with PBEsol.

Unit cell a=2.9921 b=4.5628 c=4.5628 alpha=90.00 beta=90.00 gamma=90.00
Fractional coordinates of all 3 atoms:
Hg  0.0000  0.0000  0.5000
Rh  0.5000  0.0000  0.0000
Hg  0.0000  0.5000  0.0000

Properties
Total magnetic moment in μB/cell: 0.00
Calculated volume in Å³/atom: 20.8
Energy of formation in eV/f.u.: -0.06
DOS at the Fermi energy in states/eV/atom: 0.45

---

- What is the energy of formation in the second record?
  13.29 eV/f.u.

---

- Number 2 is which compound?
  ZrRe3Hg